[1]
Below is a relaxed structure of CuCSO, with properties calculated at the PBE-GGA level.

POSCAR file:
```
CuCSO
1.0
3.494 0.000 0.000
-0.348 5.919 0.000
-1.561 -2.959 5.224
Cu C S O
2 2 2 2
direct
0.000 0.000 0.000 Cu
0.341 0.333 0.653 Cu
0.463 0.551 0.334 C
0.613 0.789 0.331 C
0.506 0.773 0.037 S
0.829 0.063 0.621 S
0.178 0.382 0.140 O
0.628 0.533 0.533 O
```

- E_form (uncorrected) (eV per atom) = -0.298
- volume (Å³ per cell) = 108.0
- distance to the lowest polymorph of the same formula (meV/atom) = 32

[2]
Below is a relaxed structure of CuCSO, with properties calculated at the PBE-GGA level.

POSCAR file:
```
CuCSO
1.0
3.829 0.000 0.000
0.223 5.605 0.000
1.439 0.309 5.753
Cu C S O
2 2 2 2
direct
0.000 0.000 0.000 Cu
0.355 0.351 0.506 Cu
0.547 0.819 0.429 C
0.645 0.047 0.516 C
0.545 0.098 0.810 S
0.952 0.230 0.323 S
0.330 0.684 0.574 O
0.689 0.768 0.220 O
```

- E_form (uncorrected) (eV per atom) = -0.330
- volume (Å³ per cell) = 123.5
- distance to the lowest polymorph of the same formula (meV/atom) = 0

[3]
Below is a relaxed structure of CuCSO, with properties calculated at the PBE-GGA level.

POSCAR file:
```
CuCSO
1.0
5.393 0.000 0.000
2.255 5.055 0.000
1.817 0.340 5.550
Cu C S O
2 2 2 2
direct
0.000 0.000 0.000 Cu
0.071 0.364 0.719 Cu
0.255 0.993 0.687 C
0.957 0.459 0.268 C
0.871 0.182 0.347 S
0.893 0.653 0.000 S
0.046 0.543 0.401 O
0.452 0.833 0.572 O
```

- E_form (uncorrected) (eV per atom) = -0.284
- volume (Å³ per cell) = 151.3
- distance to the lowest polymorph of the same formula (meV/atom) = 45

[4]
Below is a relaxed structure of SmCuCO4, with properties calculated at the PBE-GGA level.

POSCAR file:
```
SmCuCO4
1.0
-2.655 3.912 3.820
2.655 -3.912 3.820
2.655 3.912 -3.820
Sm Cu C O
2 2 2 8
direct
0.000 0.000 0.000 Sm
0.500 0.000 0.500 Sm
0.500 0.000 0.000 Cu
0.500 0.500 0.500 Cu
0.137 0.387 0.750 C
0.863 0.613 0.250 C
0.094 0.695 0.398 O
0.203 0.305 0.898 O
0.263 0.279 0.516 O
0.263 0.746 0.984 O
0.737 0.254 0.016 O
0.737 0.721 0.484 O
0.797 0.695 0.102 O
0.906 0.305 0.602 O
```

- E_form (uncorrected) (eV per atom) = -1.641
- volume (Å³ per cell) = 158.7

[5]
Below is a relaxed structure of Sr8Y4Cu11CO28, with properties calculated at the PBE-GGA level.

POSCAR file:
```
Sr8Y4Cu11CO28
1.0
3.852 0.000 0.000
0.000 11.372 7.690
0.000 -11.372 7.690
Sr Y Cu C O
8 4 11 1 28
direct
0.000 0.087 0.913 Sr
0.000 0.214 0.398 Sr
0.000 0.398 0.214 Sr
0.000 0.444 0.631 Sr
0.000 0.631 0.444 Sr
0.000 0.675 0.863 Sr
0.000 0.863 0.675 Sr
0.000 0.913 0.087 Sr
0.000 0.035 0.525 Y
0.000 0.273 0.789 Y
0.000 0.525 0.035 Y
0.000 0.789 0.273 Y
0.500 0.077 0.725 Cu
0.500 0.232 0.589 Cu
0.500 0.325 0.987 Cu
0.500 0.419 0.419 Cu
0.500 0.471 0.837 Cu
0.500 0.589 0.232 Cu
0.500 0.652 0.652 Cu
0.500 0.725 0.077 Cu
0.500 0.837 0.471 Cu
0.500 0.881 0.881 Cu
0.500 0.987 0.325 Cu
0.500 0.157 0.157 C
0.000 0.089 0.717 O
0.000 0.221 0.597 O
0.000 0.337 0.976 O
0.000 0.402 0.402 O
0.000 0.464 0.845 O
0.000 0.597 0.221 O
0.000 0.641 0.641 O
0.000 0.717 0.089 O
0.000 0.845 0.464 O
0.000 0.889 0.889 O
0.000 0.976 0.337 O
0.500 0.072 0.072 O
0.500 0.106 0.459 O
0.500 0.150 0.249 O
0.500 0.199 0.860 O
0.500 0.249 0.150 O
0.500 0.331 0.733 O
0.500 0.341 0.506 O
0.500 0.459 0.106 O
0.500 0.506 0.341 O
0.500 0.572 0.738 O
0.500 0.583 0.973 O
0.500 0.733 0.331 O
0.500 0.738 0.572 O
0.500 0.803 0.968 O
0.500 0.860 0.199 O
0.500 0.968 0.803 O
0.500 0.973 0.583 O
```

- E_form (uncorrected) (eV per atom) = -1.912
- volume (Å³ per cell) = 673.8

[6]
Below is a relaxed structure of TbCuC2O6, with properties calculated at the PBE-GGA level.

POSCAR file:
```
TbCuC2O6
1.0
2.484 1.434 5.430
-2.484 1.434 5.430
0.000 -2.868 5.430
Tb Cu C O
1 1 2 6
direct
0.000 0.000 0.000 Tb
0.500 0.500 0.500 Cu
0.250 0.250 0.250 C
0.750 0.750 0.750 C
0.013 0.490 0.746 O
0.254 0.987 0.510 O
0.490 0.746 0.013 O
0.510 0.254 0.987 O
0.746 0.013 0.490 O
0.987 0.510 0.254 O
```

- E_form (uncorrected) (eV per atom) = -1.728
- volume (Å³ per cell) = 116.1

[7]
Below is a relaxed structure of CuTeC2O, with properties calculated at the PBE-GGA level.

POSCAR file:
```
CuTeC2O
1.0
3.559 0.000 0.000
0.000 3.559 0.000
0.000 0.000 6.279
Cu Te C O
1 1 2 1
direct
0.000 0.000 0.000 Cu
0.000 0.000 0.500 Te
0.000 0.500 0.000 C
0.500 0.000 0.000 C
0.500 0.500 0.500 O
```

- E_form (uncorrected) (eV per atom) = 1.881
- volume (Å³ per cell) = 79.5

[8]
Below is a relaxed structure of Ti2CuCO, with properties calculated at the PBE-GGA level.

POSCAR file:
```
Ti2CuCO
1.0
4.193 0.000 0.000
0.000 4.193 0.000
0.000 0.000 3.600
Ti Cu C O
2 1 1 1
direct
0.000 0.500 0.000 Ti
0.500 0.000 0.000 Ti
0.000 0.000 0.500 Cu
0.000 0.000 0.000 C
0.500 0.500 0.500 O
```

- E_form (uncorrected) (eV per atom) = -0.179
- volume (Å³ per cell) = 63.3